[1]
10
Lattice="7.247 0.000 0.000 3.118 6.544 0.000 3.119 1.971 6.258" Properties=species:S:1:pos:R:3 comment="Tl2CrInCl6, optimized geometry, DFT GGA-PBE" space_group=P-1 magnetic_moment_mub_per_cell=3.0 formation_energy_uncorrected_ev_per_fu=-10.27 pbc="T T T"
Tl 3.161 2.000 1.465
Tl 10.323 6.516 4.793
Cr 0.000 0.000 0.000
In 6.742 4.258 3.129
Cl 4.432 5.858 1.858
Cl 6.293 6.302 5.394
Cl 5.099 2.494 5.053
Cl 8.385 6.021 1.204
Cl 7.191 2.214 0.863
Cl 9.052 2.657 4.400


[2]
18
Lattice="7.993 -4.091 0.000 7.993 4.091 0.000 0.000 0.000 8.036" Properties=species:S:1:pos:R:3 comment="Sm5Ga2Pb2, optimized geometry, DFT GGA-PBE" space_group=Cmce e_form_ev_per_atom=-0.536 magnetic_moment_mub_per_cell=0.0 dos_at_fermi_per_ev_cell=13.877 pbc="T T T"
Sm 0.000 0.000 0.000
Sm 5.884 2.623 5.415
Sm 5.884 1.467 1.397
Sm 10.101 2.623 5.415
Sm 10.101 1.467 1.397
Sm 7.993 0.000 4.018
Sm 5.884 -1.467 6.639
Sm 5.884 -2.623 2.621
Sm 10.101 -1.467 6.639
Sm 10.101 -2.623 2.621
Ga 7.993 3.133 3.066
Ga 7.993 0.957 7.084
Ga 7.993 -0.957 0.953
Ga 7.993 -3.133 4.971
Pb 3.398 0.000 0.000
Pb 4.595 0.000 4.018
Pb 11.391 0.000 4.018
Pb 12.587 0.000 0.000


[3]
5
Lattice="-2.007 2.007 4.959 2.007 -2.007 4.959 2.007 2.007 -4.959" Properties=species:S:1:pos:R:3 comment="ErSi2TcNi, optimized geometry, DFT GGA-PBE" space_group=I-4m2 magnetic_moment_mub_per_cell=0.0 formation_energy_uncorrected_ev_per_fu=-3.77 dos_at_fermi_per_ev_cell=2.051 pbc="T T T"
Er 0.000 0.000 0.000
Si 0.000 0.000 3.731
Si 0.000 0.000 6.186
Tc 0.000 2.007 2.479
Ni 2.007 0.000 2.479


[4]
5
Lattice="6.129 0.000 0.000 0.000 6.129 0.000 0.000 0.000 5.911" Properties=species:S:1:pos:R:3 comment="TlTeSeI2, optimized geometry, DFT GGA-PBE" space_group=P4/mmm e_above_lowest_polymorph_mev_per_atom=549.6 magnetic_moment_mub_per_cell=3.6 formation_energy_uncorrected_ev_per_fu=2.80 dos_at_fermi_per_ev_cell=4.562 pbc="T T T"
Tl 0.000 0.000 0.000
Te 0.000 0.000 2.955
Se 3.064 3.064 2.955
I 0.000 3.064 0.000
I 3.064 0.000 0.000


[5]
4
Lattice="1.857 1.072 10.245 -1.857 1.072 10.245 0.000 -2.145 10.245" Properties=species:S:1:pos:R:3 comment="La2CeCl, optimized geometry, DFT GGA-PBE" space_group=R-3m magnetic_moment_mub_per_cell=0.7 formation_energy_uncorrected_ev_per_fu=-2.65 dos_at_fermi_per_ev_cell=6.005 pbc="T T T"
La 0.000 0.000 7.433
La 0.000 0.000 23.301
Ce 0.000 0.000 0.000
Cl 0.000 0.000 15.367


[6]
4
Lattice="0.000 3.824 3.824 3.824 0.000 3.824 3.824 3.824 0.000" Properties=species:S:1:pos:R:3 comment="KYV2, optimized geometry, DFT GGA-PBE" space_group=Fm-3m e_above_lowest_polymorph_mev_per_atom=0.0 e_form_ev_per_atom=1.290 magnetic_moment_mub_per_cell=8.8 dos_at_fermi_per_ev_cell=6.934 pbc="T T T"
K 0.000 0.000 0.000
Y 3.824 3.824 3.824
V 1.912 1.912 1.912
V 5.736 5.736 5.736